(1)
The following is a DFT calculation (PBE) of crystalline TbHoSn2Ir at its relaxed geometry.

Unit cell a=5.9105 b=5.9105 c=10.9161 alpha=113.83 beta=113.83 gamma=44.77
Closest atoms and distances in Å follow each position.
Fractional positions:
Ho1 0.0026 0.0026 0.1718  1 Ir 2.96, 4 Sn 3.14-3.18
Ho2 0.9974 0.9974 0.8282  1 Ir 2.96, 4 Sn 3.14-3.18
Ir1 0.2748 0.2748 0.1745  4 Sn 2.67-2.84, 1 Ho 2.96
Ir2 0.7252 0.7252 0.8255  4 Sn 2.67-2.84, 1 Ho 2.96
Sn1 0.6544 0.6544 0.0471  3 Ir 2.67-2.84
Sn2 0.5306 0.5306 0.3830  1 Ir 2.73, 1 Sn 2.91
Sn3 0.4694 0.4694 0.6170  1 Ir 2.73, 1 Sn 2.91
Sn4 0.3456 0.3456 0.9529  3 Ir 2.67-2.84
Tb1 0.8132 0.8132 0.3718  2 Ir 3.02, 6 Sn 3.14-3.34
Tb2 0.1868 0.1868 0.6282  2 Ir 3.02, 6 Sn 3.14-3.34

Crystal system ... monoclinic
E ... -5.999 eV/atom
Calculated volume ... 24.16 A^3/atom
Total magnetization ... 0.00 μB per cell

---

(2)
The following is a DFT calculation (PBE) of crystalline NbZnCuBi at its relaxed geometry.

Unit cell a=4.7316 b=4.7316 c=4.7316 alpha=60.00 beta=60.00 gamma=60.00
Closest atoms and distances in Å follow each position.
Fractional positions:
Bi1 0.0000 0.0000 0.0000  4 Nb 2.90, 4 Cu 2.90
Cu1 0.2500 0.2500 0.2500  4 Zn 2.90, 4 Bi 2.90
Nb1 0.7500 0.7500 0.7500  4 Bi 2.90, 4 Zn 2.90
Zn1 0.5000 0.5000 0.5000  4 Cu 2.90, 4 Nb 2.90

Crystal system ... cubic
E ... -4.270 eV/atom
Polymorph energy (0 for the lowest one) ... 0 meV/atom
Calculated volume ... 18.73 A^3/atom
Total magnetization ... 1.06 μB per cell

---

(3)
The following is a DFT calculation (PBE) of crystalline TaS at its relaxed geometry.

Unit cell a=3.2719 b=3.2719 c=3.3458 alpha=90.00 beta=90.00 gamma=120.00
Closest atoms and distances in Å follow each position.
Fractional positions:
S1 0.6667 0.3333 0.7500  6 Ta 2.52
Ta1 0.3333 0.6667 0.2500  6 S 2.52

Crystal system ... hexagonal
E ... -8.668 eV/atom
Calculated volume ... 15.51 A^3/atom
Total magnetization ... 0.00 μB per cell

---

(4)
The following is a DFT calculation (PBE) of crystalline LaTmTlNi2 at its relaxed geometry.

Unit cell a=3.7283 b=7.6473 c=7.6473 alpha=30.08 beta=90.00 gamma=90.00
Closest atoms and distances in Å follow each position.
Fractional positions:
La1 0.0000 0.3615 0.3615  6 Ni 2.90-3.06
Ni1 0.5000 0.1970 0.1970  2 Ni 2.45
Ni2 0.5000 0.7938 0.7938  2 Ni 2.45
Tl1 0.5000 0.0071 0.0071  1 Ni 2.80
Tm1 0.0000 0.6406 0.6406  6 Ni 2.85-2.93

Crystal system ... orthorhombic
E ... -5.023 eV/atom
Calculated volume ... 21.86 A^3/atom
Total magnetization ... 0.01 μB per cell

---

(5)
The following is a DFT calculation (PBE) of crystalline Sr2CuP2 at its relaxed geometry.

Unit cell a=8.6771 b=8.6771 c=7.4790 alpha=90.00 beta=90.00 gamma=153.06
Closest atoms and distances in Å follow each position.
Fractional positions:
Cu1 0.1212 0.8788 0.3759  3 P 2.29
Cu2 0.8788 0.1212 0.8759  3 P 2.29
P1 0.3463 0.6537 0.0007  2 Cu 2.29
P2 0.0816 0.9184 0.0833  1 Cu 2.29
P3 0.6537 0.3463 0.5007  2 Cu 2.29
P4 0.9184 0.0816 0.5833  1 Cu 2.29
Sr1 0.7189 0.2811 0.1181  5 P 3.07-3.09, 3 Cu 3.24-3.25
Sr2 0.4749 0.5251 0.2876  6 P 3.05-3.41, 2 Cu 3.26
Sr3 0.2811 0.7189 0.6181  5 P 3.07-3.09, 3 Cu 3.24-3.25
Sr4 0.5251 0.4749 0.7876  6 P 3.05-3.41, 2 Cu 3.26

Crystal system ... orthorhombic
E ... -4.381 eV/atom
Calculated volume ... 25.51 A^3/atom

---

(6)
The following is a DFT calculation (PBE) of crystalline LaSbMoI2 at its relaxed geometry.

Unit cell a=4.3313 b=4.3313 c=10.5362 alpha=90.00 beta=90.00 gamma=120.00
Closest atoms and distances in Å follow each position.
Fractional positions:
I1 0.6667 0.3333 0.3437  3 La 3.29
I2 0.0000 0.0000 0.6970  3 Mo 3.00
La1 0.0000 0.0000 0.1414  3 Sb 3.13, 3 I 3.29
Mo1 0.6667 0.3333 0.8549  3 Sb 2.75, 3 I 3.00
Sb1 0.3333 0.6667 0.9628  3 Mo 2.75

Crystal system ... trigonal
E ... -5.139 eV/atom
Calculated volume ... 34.24 A^3/atom
Total magnetization ... 2.00 μB per cell

---

(7)
The following is a DFT calculation (PBE) of crystalline YNiMo at its relaxed geometry.

Unit cell a=4.8040 b=4.8040 c=8.1618 alpha=90.00 beta=90.00 gamma=120.00
Closest atoms and distances in Å follow each position.
Fractional positions:
Mo1 0.0000 0.0000 0.0005  2 Mo 2.77-2.91, 6 Ni 2.99-3.04
Mo2 0.0000 0.0000 0.3399  2 Mo 2.48-2.77
Mo3 0.0000 0.0000 0.6438  1 Mo 2.48
Ni1 0.6667 0.3333 0.1375  1 Ni 2.36
Ni2 0.3333 0.6667 0.4973  5 Y 2.54-2.77
Ni3 0.6667 0.3333 0.8484  1 Ni 2.36
Y1 0.3333 0.6667 0.1865  4 Ni 2.54-2.80
Y2 0.6667 0.3333 0.4938  5 Ni 2.77-2.91, 6 Mo 3.03-3.04
Y3 0.3333 0.6667 0.8082  4 Ni 2.54-2.79

Crystal system ... trigonal
E ... -7.331 eV/atom
Polymorph energy (0 for the lowest one) ... 0 meV/atom
Calculated volume ... 18.13 A^3/atom
Total magnetization ... 2.96 μB per cell
ΔE_f ... 0.296 eV/atom

---

(8)
The following is a DFT calculation (PBE) of crystalline YHoTa2Ge2 at its relaxed geometry.

Unit cell a=4.0205 b=4.0205 c=7.8342 alpha=90.00 beta=90.00 gamma=90.00
Closest atoms and distances in Å follow each position.
Fractional positions:
Ge1 0.0000 0.0000 0.2457  4 Ta 2.78, 4 Y 2.96
Ge2 0.5000 0.5000 0.7541  4 Ta 2.78, 4 Ho 2.96
Ho1 0.0000 0.0000 0.6491  5 Ge 2.96-3.16
Ta1 0.5000 0.0000 0.9999  4 Ge 2.78, 4 Ta 2.84
Ta2 0.0000 0.5000 0.9999  4 Ge 2.78, 4 Ta 2.84
Y1 0.5000 0.5000 0.3513  5 Ge 2.96-3.16

Crystal system ... tetragonal
E ... -7.934 eV/atom
Calculated volume ... 21.11 A^3/atom
Total magnetization ... 1.08 μB per cell

---

(9)
The following is a DFT calculation (PBE) of crystalline Ho3Co2Ge4 at its relaxed geometry.

Unit cell a=4.1489 b=5.6700 c=7.9828 alpha=106.46 beta=90.00 gamma=111.46
Closest atoms and distances in Å follow each position.
Fractional positions:
Co1 0.6906 0.3813 0.3708  4 Ge 2.34-2.43
Co2 0.3093 0.6187 0.6292  4 Ge 2.34-2.43
Ge1 0.7096 0.4192 0.0800  1 Co 2.39
Ge2 0.0966 0.1931 0.3998  3 Co 2.34-2.43
Ge3 0.9034 0.8069 0.6002  3 Co 2.34-2.43
Ge4 0.2904 0.5808 0.9200  1 Co 2.39
Ho1 0.0000 0.0000 0.0000  6 Ge 2.96-3.04
Ho2 0.3766 0.7532 0.3073  4 Co 2.87-3.20, 7 Ge 2.95-3.07
Ho3 0.6234 0.2468 0.6927  4 Co 2.87-3.20, 7 Ge 2.95-3.07

Crystal system ... monoclinic
E ... -5.877 eV/atom
Calculated volume ... 18.50 A^3/atom
Total magnetization ... 0.01 μB per cell

---

(10)
The following is a DFT calculation (PBE) of crystalline HfCoAgAs at its relaxed geometry.

Unit cell a=4.5207 b=4.5207 c=4.5207 alpha=60.00 beta=60.00 gamma=60.00
Closest atoms and distances in Å follow each position.
Fractional positions:
Ag1 0.5000 0.5000 0.5000  4 Co 2.77, 4 Hf 2.77
As1 0.0000 0.0000 0.0000  4 Co 2.77, 4 Hf 2.77
Co1 0.7500 0.7500 0.7500  4 Ag 2.77, 4 As 2.77
Hf1 0.2500 0.2500 0.2500  4 Ag 2.77, 4 As 2.77

Crystal system ... cubic
E ... -6.131 eV/atom
Polymorph energy (0 for the lowest one) ... 0 meV/atom
Calculated volume ... 16.33 A^3/atom
Total magnetization ... 0.99 μB per cell

---

(11)
The following is a DFT calculation (PBE) of crystalline Gd2Ir2O5 at its relaxed geometry.

Unit cell a=9.3557 b=3.6090 c=3.6090 alpha=90.00 beta=90.00 gamma=90.00
Closest atoms and distances in Å follow each position.
Fractional positions:
Gd1 0.2656 0.5000 0.5000  5 O 2.19-2.23
Gd2 0.7344 0.5000 0.5000  5 O 2.19-2.23
Ir1 0.0000 0.0000 0.0000  8 O 2.15
Ir2 0.5000 0.0000 0.0000  4 O 2.55
O1 0.1250 0.5000 0.0000  2 Ir 2.15, 2 Gd 2.23, 1 O 2.34
O2 0.8750 0.5000 0.0000  2 Ir 2.15, 2 Gd 2.23, 1 O 2.34
O3 0.1250 0.0000 0.5000  2 Ir 2.15, 2 Gd 2.23, 1 O 2.34
O4 0.8750 0.0000 0.5000  2 Ir 2.15, 2 Gd 2.23, 1 O 2.34
O5 0.5000 0.5000 0.5000  2 Gd 2.19

Crystal system ... tetragonal
E ... -7.119 eV/atom
Polymorph energy (0 for the lowest one) ... 354 meV/atom
Calculated volume ... 13.54 A^3/atom
Total magnetization ... 0.58 μB per cell

---

(12)
The following is a DFT calculation (PBE) of crystalline CsAgPtSe2S at its relaxed geometry.

Unit cell a=8.1277 b=8.1277 c=10.5567 alpha=90.00 beta=90.00 gamma=152.09
Closest atoms and distances in Å follow each position.
Fractional positions:
Ag1 0.5556 0.4444 0.2500  2 S 2.52, 2 Se 2.58
Ag2 0.4444 0.5556 0.7500  2 S 2.52, 2 Se 2.58
Cs1 0.2578 0.7422 0.2500  6 Se 3.56-3.98, 2 S 3.68, 2 Ag 3.74, 2 Cs 3.92
Cs2 0.7422 0.2578 0.7500  6 Se 3.56-3.98, 2 S 3.68, 2 Ag 3.74, 2 Cs 3.92
Pt1 0.0000 0.0000 0.0000  4 Se 2.56, 2 S 2.73
Pt2 0.0000 0.0000 0.5000  4 Se 2.56, 2 S 2.73
S1 0.9550 0.0450 0.2500  2 Ag 2.52, 2 Pt 2.73
S2 0.0450 0.9550 0.7500  2 Ag 2.52, 2 Pt 2.73
Se1 0.6039 0.3961 0.0166  2 Pt 2.56, 1 Ag 2.58
Se2 0.6039 0.3961 0.4834  2 Pt 2.56, 1 Ag 2.58
Se3 0.3961 0.6039 0.5166  2 Pt 2.56, 1 Ag 2.58
Se4 0.3961 0.6039 0.9834  2 Pt 2.56, 1 Ag 2.58

Crystal system ... orthorhombic
E ... -3.812 eV/atom
Calculated volume ... 27.21 A^3/atom
Total magnetization ... 0.33 μB per cell